Record 1
# NaNiAg2H, relaxed, DFT PBE-GGA
# - raw total energy (eV per cell) = -14.73
data_NaNiAg2H
_cell_length_a 5.1973
_cell_length_b 5.1973
_cell_length_c 3.0523
_cell_angle_alpha 90.00
_cell_angle_beta 90.00
_cell_angle_gamma 90.00
_space_group_name_H-M_alt 'P 4/m m m'
_space_group_IT_number 123
_space_group_name_Hall '-P 4 2'
loop_
_atom_site_label
_atom_site_type_symbol
_atom_site_fract_x
_atom_site_fract_y
_atom_site_fract_z
Na1 Na 0.0000 0.0000 0.0000
Ni1 Ni 0.5000 0.5000 0.5000
Ag1 Ag 0.0000 0.5000 0.5000
H1 H 0.5000 0.5000 0.0000


Record 2
# NaAgH2O2, relaxed, DFT PBE-GGA
# - raw total energy (eV per cell) = -50.16
data_NaAgH2O2
_cell_length_a 3.8267
_cell_length_b 4.8242
_cell_length_c 6.9023
_cell_angle_alpha 90.00
_cell_angle_beta 92.45
_cell_angle_gamma 90.00
_space_group_name_H-M_alt 'P 1 21/m 1'
_space_group_IT_number 11
_space_group_name_Hall '-P 2yb'
loop_
_atom_site_label
_atom_site_type_symbol
_atom_site_fract_x
_atom_site_fract_y
_atom_site_fract_z
Na1 Na 0.2343 0.2500 0.4124
Ag1 Ag 0.2016 0.7500 0.0624
H1 H 0.2823 0.2500 0.7354
H2 H 0.2827 0.7500 0.7363
O1 O 0.2718 0.9998 0.7297


Record 3
# Na2AgHPb, relaxed, DFT PBE-GGA
# - offset from the most stable computed form (meV per atom) = 45
# - raw total energy (eV per cell) = -12.35
data_Na2AgHPb
_cell_length_a 4.6845
_cell_length_b 4.6845
_cell_length_c 4.7451
_cell_angle_alpha 90.00
_cell_angle_beta 90.00
_cell_angle_gamma 90.00
_space_group_name_H-M_alt 'P 4/m m m'
_space_group_IT_number 123
_space_group_name_Hall '-P 4 2'
loop_
_atom_site_label
_atom_site_type_symbol
_atom_site_fract_x
_atom_site_fract_y
_atom_site_fract_z
Na1 Na 0.0000 0.5000 0.0000
Ag1 Ag 0.0000 0.0000 0.5000
H1 H 0.5000 0.5000 0.0000
Pb1 Pb 0.5000 0.5000 0.5000


Record 4
# NaAg2HPb, relaxed, DFT PBE-GGA
# - raw total energy (eV per cell) = -13.43
data_NaAg2HPb
_cell_length_a 4.3588
_cell_length_b 4.3588
_cell_length_c 4.7404
_cell_angle_alpha 90.00
_cell_angle_beta 90.00
_cell_angle_gamma 90.00
_space_group_name_H-M_alt 'P 4/m m m'
_space_group_IT_number 123
_space_group_name_Hall '-P 4 2'
loop_
_atom_site_label
_atom_site_type_symbol
_atom_site_fract_x
_atom_site_fract_y
_atom_site_fract_z
Na1 Na 0.0000 0.0000 0.0000
Ag1 Ag 0.0000 0.5000 0.5000
H1 H 0.0000 0.0000 0.5000
Pb1 Pb 0.5000 0.5000 0.0000


What is the raw total energy in the first record? -14.73 eV per cell


Number 3 is which compound? Na2AgHPb


Among the records above, which one has the highest raw total energy? Na2AgHPb


Among the records above, which one has the lowest raw total energy? NaAgH2O2